1.
MgFe PBE optimized geometry; SG = Fddd (70); uncorrected energy = -37.092 eV per cell; D(E_F) = 0.995 states/eV per atom
1.0
0.0000 3.9767 6.8700
2.4168 0.0000 6.8700
2.4168 3.9767 0.0000
Mg Fe
4 4
direct
0.0436 0.7064 0.0436 Mg
0.2936 0.9564 0.2936 Mg
0.7064 0.0436 0.7064 Mg
0.9564 0.2936 0.9564 Mg
0.2936 0.2936 0.4564 Fe
0.4564 0.4564 0.2936 Fe
0.5436 0.5436 0.7064 Fe
0.7064 0.7064 0.5436 Fe

2.
Bi2SO PBE optimized geometry; SG = Fm-3m (225); offset from the most stable computed form = 0.314 eV per atom; D(E_F) = 0.813 states/eV per atom
1.0
6.8342 0.0000 0.0000
0.0000 6.8342 0.0000
0.0000 0.0000 6.8342
Bi S O
8 4 4
direct
0.2500 0.2500 0.2500 Bi
0.2500 0.2500 0.7500 Bi
0.2500 0.7500 0.2500 Bi
0.2500 0.7500 0.7500 Bi
0.7500 0.2500 0.2500 Bi
0.7500 0.2500 0.7500 Bi
0.7500 0.7500 0.2500 Bi
0.7500 0.7500 0.7500 Bi
0.0000 0.0000 0.0000 S
0.0000 0.5000 0.5000 S
0.5000 0.0000 0.5000 S
0.5000 0.5000 0.0000 S
0.0000 0.0000 0.5000 O
0.0000 0.5000 0.0000 O
0.5000 0.0000 0.0000 O
0.5000 0.5000 0.5000 O

3.
CaAc5LaPr2 PBE optimized geometry; SG = I4/mcm (140); uncorrected energy = -69.417 eV per cell; D(E_F) = 1.582 states/eV per atom
1.0
-4.9987 4.9987 7.7993
4.9987 -4.9987 7.7993
4.9987 4.9987 -7.7993
Ca Ac La Pr
2 10 2 4
direct
0.2500 0.7500 0.5000 Ca
0.7500 0.2500 0.5000 Ca
0.0000 0.0000 0.0000 Ac
0.0757 0.5757 0.9110 Ac
0.1647 0.0757 0.5000 Ac
0.3353 0.8353 0.9110 Ac
0.4243 0.3353 0.5000 Ac
0.5000 0.5000 0.0000 Ac
0.5757 0.6647 0.5000 Ac
0.6647 0.1647 0.0890 Ac
0.8353 0.9243 0.5000 Ac
0.9243 0.4243 0.0890 Ac
0.2500 0.2500 0.0000 La
0.7500 0.7500 0.0000 La
0.1062 0.3938 0.5000 Pr
0.3938 0.8938 0.2875 Pr
0.6062 0.1062 0.7125 Pr
0.8938 0.6062 0.5000 Pr

4.
HfMgSe2 PBE optimized geometry; SG = I-42d (122); offset from the most stable computed form = 0.340 eV per atom; D(E_F) = 0.992 states/eV per atom
1.0
6.1336 0.0000 0.0000
0.0000 6.1336 0.0000
0.0000 0.0000 11.4256
Hf Mg Se
4 4 8
direct
0.0000 0.0000 0.0000 Hf
0.0000 0.5000 0.2500 Hf
0.5000 0.0000 0.7500 Hf
0.5000 0.5000 0.5000 Hf
0.0000 0.0000 0.5000 Mg
0.0000 0.5000 0.7500 Mg
0.5000 0.0000 0.2500 Mg
0.5000 0.5000 0.0000 Mg
0.2447 0.2500 0.6250 Se
0.2500 0.7447 0.8750 Se
0.2500 0.7553 0.3750 Se
0.2553 0.2500 0.1250 Se
0.7447 0.7500 0.1250 Se
0.7500 0.2447 0.3750 Se
0.7500 0.2553 0.8750 Se
0.7553 0.7500 0.6250 Se

5.
BaLiTcO4 PBE optimized geometry; SG = F-43m (216); uncorrected energy = -46.045 eV per cell; D(E_F) = 0.210 states/eV per atom
1.0
0.0000 4.1801 4.1801
4.1801 0.0000 4.1801
4.1801 4.1801 0.0000
Ba Li Tc O
1 1 1 4
direct
0.0000 0.0000 0.0000 Ba
0.2500 0.2500 0.2500 Li
0.5000 0.5000 0.5000 Tc
0.3739 0.3739 0.3739 O
0.3739 0.3739 0.8782 O
0.3739 0.8782 0.3739 O
0.8782 0.3739 0.3739 O

6.
K2SrInO PBE optimized geometry; SG = P4/mmm (123); uncorrected energy = -7.343 eV per cell; D(E_F) = 3.437 states/eV per atom
1.0
7.6532 0.0000 0.0000
0.0000 7.6532 0.0000
0.0000 0.0000 6.1812
K Sr In O
2 1 1 1
direct
0.0000 0.5000 0.0000 K
0.5000 0.0000 0.0000 K
0.0000 0.0000 0.0000 Sr
0.0000 0.0000 0.5000 In
0.5000 0.5000 0.5000 O

7.
Zr2BeSi PBE optimized geometry; SG = P4/mmm (123); offset from the most stable computed form = 0.458 eV per atom; D(E_F) = 0.956 states/eV per atom
1.0
3.7480 0.0000 0.0000
0.0000 3.7480 0.0000
0.0000 0.0000 5.3024
Zr Be Si
2 1 1
direct
0.0000 0.0000 0.0000 Zr
0.5000 0.5000 0.5000 Zr
0.0000 0.0000 0.5000 Be
0.5000 0.5000 0.0000 Si

8.
Ce2Zn3Ga PBE optimized geometry; SG = Imm2 (44); offset from the most stable computed form = 0.068 eV per atom; D(E_F) = 2.237 states/eV per atom
1.0
4.0786 0.0000 0.0000
0.0000 4.3166 0.0000
0.0000 0.0000 15.2398
Ce Zn Ga
4 6 2
direct
0.0000 0.0000 0.0000 Ce
0.0000 0.5000 0.2600 Ce
0.5000 0.0000 0.7600 Ce
0.5000 0.5000 0.5000 Ce
0.0000 0.0000 0.5896 Zn
0.0000 0.5000 0.6709 Zn
0.0000 0.5000 0.8354 Zn
0.5000 0.0000 0.1709 Zn
0.5000 0.0000 0.3354 Zn
0.5000 0.5000 0.0896 Zn
0.0000 0.0000 0.4243 Ga
0.5000 0.5000 0.9243 Ga

9.
LiGdGaRh PBE optimized geometry; SG = F-43m (216); uncorrected energy = -114.201 eV per cell; D(E_F) = 0.902 states/eV per atom
1.0
6.5678 0.0000 0.0000
0.0000 6.5678 0.0000
0.0000 0.0000 6.5678
Li Gd Ga Rh
4 4 4 4
direct
0.0000 0.0000 0.0000 Li
0.0000 0.5000 0.5000 Li
0.5000 0.0000 0.5000 Li
0.5000 0.5000 0.0000 Li
0.2500 0.2500 0.2500 Gd
0.2500 0.7500 0.7500 Gd
0.7500 0.2500 0.7500 Gd
0.7500 0.7500 0.2500 Gd
0.2500 0.2500 0.7500 Ga
0.2500 0.7500 0.2500 Ga
0.7500 0.2500 0.2500 Ga
0.7500 0.7500 0.7500 Ga
0.0000 0.0000 0.5000 Rh
0.0000 0.5000 0.0000 Rh
0.5000 0.0000 0.0000 Rh
0.5000 0.5000 0.5000 Rh

10.
Mn2VGa2 PBE optimized geometry; SG = P4/mbm (127); offset from the most stable computed form = 0.102 eV per atom; D(E_F) = 0.516 states/eV per atom
1.0
6.8026 0.0000 0.0000
0.0000 6.8026 0.0000
0.0000 0.0000 3.0858
Mn V Ga
4 2 4
direct
0.1704 0.3296 0.0000 Mn
0.3296 0.8296 0.0000 Mn
0.6704 0.1704 0.0000 Mn
0.8296 0.6704 0.0000 Mn
0.0000 0.0000 0.5000 V
0.5000 0.5000 0.5000 V
0.1311 0.6311 0.5000 Ga
0.3689 0.1311 0.5000 Ga
0.6311 0.8689 0.5000 Ga
0.8689 0.3689 0.5000 Ga

11.
Sc2Zn2Co PBE optimized geometry; SG = P4/mbm (127); offset from the most stable computed form = 0.000 eV per atom; D(E_F) = 1.222 states/eV per atom
1.0
6.5079 0.0000 0.0000
0.0000 6.5079 0.0000
0.0000 0.0000 4.1182
Sc Zn Co
4 4 2
direct
0.1782 0.3218 0.0000 Sc
0.3218 0.8218 0.0000 Sc
0.6782 0.1782 0.0000 Sc
0.8218 0.6782 0.0000 Sc
0.1334 0.6334 0.5000 Zn
0.3666 0.1334 0.5000 Zn
0.6334 0.8666 0.5000 Zn
0.8666 0.3666 0.5000 Zn
0.0000 0.0000 0.5000 Co
0.5000 0.5000 0.5000 Co

12.
VIr2Pd PBE optimized geometry; SG = I-42d (122); uncorrected energy = -125.496 eV per cell; D(E_F) = 1.182 states/eV per atom
1.0
7.0341 0.0000 0.0000
0.0000 7.0341 0.0000
0.0000 0.0000 5.1833
V Ir Pd
4 8 4
direct
0.0000 0.0000 0.0000 V
0.0000 0.5000 0.2500 V
0.5000 0.0000 0.7500 V
0.5000 0.5000 0.5000 V
0.2047 0.2500 0.1250 Ir
0.2500 0.7047 0.3750 Ir
0.2500 0.7953 0.8750 Ir
0.2953 0.2500 0.6250 Ir
0.7047 0.7500 0.6250 Ir
0.7500 0.2047 0.8750 Ir
0.7500 0.2953 0.3750 Ir
0.7953 0.7500 0.1250 Ir
0.0000 0.0000 0.5000 Pd
0.0000 0.5000 0.7500 Pd
0.5000 0.0000 0.2500 Pd
0.5000 0.5000 0.0000 Pd

13.
Be2AsW PBE optimized geometry; SG = R3m (160); uncorrected energy = -69.032 eV per cell; D(E_F) = 0.570 states/eV per atom
1.0
2.8815 0.0000 0.0000
-1.4408 2.4955 0.0000
0.0000 0.0000 22.5501
Be As W
6 3 3
direct
0.0000 0.0000 0.0000 Be
0.0000 0.0000 0.2638 Be
0.3333 0.6667 0.6667 Be
0.3333 0.6667 0.9304 Be
0.6667 0.3333 0.3333 Be
0.6667 0.3333 0.5971 Be
0.0000 0.0000 0.5114 As
0.3333 0.6667 0.1780 As
0.6667 0.3333 0.8447 As
0.0000 0.0000 0.7540 W
0.3333 0.6667 0.4206 W
0.6667 0.3333 0.0873 W

14.
Ce2CoH5 PBE optimized geometry; SG = I4mm (107); uncorrected energy = -77.801 eV per cell; D(E_F) = 1.662 states/eV per atom
1.0
5.0028 0.0000 0.0000
0.0000 5.0028 0.0000
0.0000 0.0000 7.1706
Ce Co H
4 2 10
direct
0.0000 0.5000 0.0000 Ce
0.0000 0.5000 0.5000 Ce
0.5000 0.0000 0.0000 Ce
0.5000 0.0000 0.5000 Ce
0.0000 0.0000 0.2553 Co
0.5000 0.5000 0.7553 Co
0.0000 0.0000 0.4875 H
0.2301 0.2301 0.2428 H
0.2301 0.7699 0.2428 H
0.2699 0.2699 0.7428 H
0.2699 0.7301 0.7428 H
0.5000 0.5000 0.9875 H
0.7301 0.2699 0.7428 H
0.7301 0.7301 0.7428 H
0.7699 0.2301 0.2428 H
0.7699 0.7699 0.2428 H

15.
KZrCd PBE optimized geometry; SG = P3m1 (156); offset from the most stable computed form = 0.235 eV per atom; D(E_F) = 0.794 states/eV per atom
1.0
5.6375 0.0000 0.0000
-2.8188 4.8823 0.0000
0.0000 0.0000 2.8919
K Zr Cd
1 1 1
direct
0.0000 0.0000 0.0000 K
0.6667 0.3333 0.0068 Zr
0.3333 0.6667 0.5042 Cd

16.
SrGaSn PBE optimized geometry; SG = P3m1 (156); offset from the most stable computed form = 0.034 eV per atom; D(E_F) = 0.472 states/eV per atom
1.0
4.5677 0.0000 0.0000
-2.2839 3.9558 0.0000
0.0000 0.0000 4.8739
Sr Ga Sn
1 1 1
direct
0.0000 0.0000 0.0000 Sr
0.3333 0.6667 0.4007 Ga
0.6667 0.3333 0.5478 Sn

17.
Th5Sb4C PBE optimized geometry; SG = I4 (79); uncorrected energy = -69.860 eV per cell; D(E_F) = 0.784 states/eV per atom
1.0
-4.8646 4.8646 3.1353
4.8646 -4.8646 3.1353
4.8646 4.8646 -3.1353
Th Sb C
5 4 1
direct
0.0000 0.0000 0.0000 Th
0.2906 0.6403 0.8389 Th
0.4516 0.2906 0.6503 Th
0.6403 0.8013 0.3497 Th
0.8013 0.4516 0.1611 Th
0.1283 0.3555 0.3948 Sb
0.3555 0.9606 0.2272 Sb
0.7335 0.1283 0.7728 Sb
0.9606 0.7335 0.6052 Sb
0.5832 0.5832 0.0000 C

18.
MgSi2Cl PBE optimized geometry; SG = Cmmm (65); offset from the most stable computed form = 0.704 eV per atom; D(E_F) = 0.447 states/eV per atom
1.0
4.7215 0.0000 0.0000
0.0000 11.5396 0.0000
0.0000 0.0000 3.1076
Mg Si Cl
2 4 2
direct
0.0000 0.0000 0.0000 Mg
0.5000 0.5000 0.0000 Mg
0.2500 0.2500 0.5000 Si
0.2500 0.7500 0.5000 Si
0.7500 0.2500 0.5000 Si
0.7500 0.7500 0.5000 Si
0.0000 0.5000 0.0000 Cl
0.5000 0.0000 0.0000 Cl

19.
RbBa2ZnCl PBE optimized geometry; SG = P4/mmm (123); uncorrected energy = -7.581 eV per cell; D(E_F) = 0.561 states/eV per atom
1.0
7.2670 0.0000 0.0000
0.0000 7.2670 0.0000
0.0000 0.0000 5.6794
Rb Ba Zn Cl
1 2 1 1
direct
0.0000 0.0000 0.0000 Rb
0.0000 0.5000 0.0000 Ba
0.5000 0.0000 0.0000 Ba
0.5000 0.5000 0.5000 Zn
0.0000 0.0000 0.5000 Cl

20.
MnAlCdAg2 PBE optimized geometry; SG = P4/mmm (123); uncorrected energy = -16.567 eV per cell; D(E_F) = 0.637 states/eV per atom
1.0
4.8333 0.0000 0.0000
0.0000 4.8333 0.0000
0.0000 0.0000 4.7685
Mn Al Cd Ag
1 1 1 2
direct
0.0000 0.0000 0.0000 Mn
0.0000 0.0000 0.5000 Al
0.5000 0.5000 0.0000 Cd
0.0000 0.5000 0.5000 Ag
0.5000 0.0000 0.5000 Ag

21.
HfNi2AuI PBE optimized geometry; SG = P4/mmm (123); uncorrected energy = -22.040 eV per cell; D(E_F) = 1.849 states/eV per atom
1.0
4.7847 0.0000 0.0000
0.0000 4.7847 0.0000
0.0000 0.0000 5.1005
Hf Ni Au I
1 2 1 1
direct
0.0000 0.0000 0.0000 Hf
0.0000 0.5000 0.5000 Ni
0.5000 0.0000 0.5000 Ni
0.0000 0.0000 0.5000 Au
0.5000 0.5000 0.0000 I

22.
ZnRh2Pb2 PBE optimized geometry; SG = P4/mbm (127); uncorrected energy = -47.096 eV per cell; D(E_F) = 0.668 states/eV per atom
1.0
7.0028 0.0000 0.0000
0.0000 7.0028 0.0000
0.0000 0.0000 3.9686
Zn Rh Pb
2 4 4
direct
0.0000 0.0000 0.0000 Zn
0.5000 0.5000 0.0000 Zn
0.1471 0.3529 0.0000 Rh
0.3529 0.8529 0.0000 Rh
0.6471 0.1471 0.0000 Rh
0.8529 0.6471 0.0000 Rh
0.1604 0.6604 0.5000 Pb
0.3396 0.1604 0.5000 Pb
0.6604 0.8396 0.5000 Pb
0.8396 0.3396 0.5000 Pb

23.
TlCuOs2 PBE optimized geometry; SG = Cm (8); offset from the most stable computed form = 0.229 eV per atom; D(E_F) = 0.786 states/eV per atom
1.0
8.7191 0.0000 0.0000
0.0000 2.8818 0.0000
-0.7450 0.0000 5.2106
Tl Cu Os
2 2 4
direct
0.0000 0.0000 0.0000 Tl
0.5000 0.5000 0.0000 Tl
0.2442 0.0000 0.7560 Cu
0.7442 0.5000 0.7560 Cu
0.2555 0.5000 0.3306 Os
0.4990 0.0000 0.5021 Os
0.7555 0.0000 0.3306 Os
0.9990 0.5000 0.5021 Os

24.
RbSeCl2 PBE optimized geometry; SG = Fm-3m (225); offset from the most stable computed form = 0.324 eV per atom; D(E_F) = 0.000 states/eV per atom
1.0
7.7667 0.0000 0.0000
0.0000 7.7667 0.0000
0.0000 0.0000 7.7667
Rb Se Cl
4 4 8
direct
0.0000 0.0000 0.0000 Rb
0.0000 0.5000 0.5000 Rb
0.5000 0.0000 0.5000 Rb
0.5000 0.5000 0.0000 Rb
0.0000 0.0000 0.5000 Se
0.0000 0.5000 0.0000 Se
0.5000 0.0000 0.0000 Se
0.5000 0.5000 0.5000 Se
0.2500 0.2500 0.2500 Cl
0.2500 0.2500 0.7500 Cl
0.2500 0.7500 0.2500 Cl
0.2500 0.7500 0.7500 Cl
0.7500 0.2500 0.2500 Cl
0.7500 0.2500 0.7500 Cl
0.7500 0.7500 0.2500 Cl
0.7500 0.7500 0.7500 Cl

25.
UTcRh PBE optimized geometry; SG = R-3m (166); offset from the most stable computed form = 0.194 eV per atom; D(E_F) = 0.996 states/eV per atom
1.0
2.2121 1.2772 6.7737
-2.2121 1.2772 6.7737
0.0000 -2.5543 6.7737
U Tc Rh
2 2 2
direct
0.0868 0.0868 0.0868 U
0.9132 0.9132 0.9132 U
0.2361 0.2361 0.2361 Tc
0.7639 0.7639 0.7639 Tc
0.3719 0.3719 0.3719 Rh
0.6281 0.6281 0.6281 Rh